Entry from OQMD: crystalline GdAsNO at its relaxed geometry (PBE).

Unit cell a=4.2342 b=4.2342 c=7.0625 alpha=90.00 beta=90.00 gamma=90.00
Atoms (fractional coordinates):
N 0.2500 0.2500 0.4783
N 0.7500 0.7500 0.5217
As 0.2500 0.7500 0.5000
As 0.7500 0.2500 0.5000
O 0.2500 0.7500 0.0000
O 0.7500 0.2500 0.0000
Gd 0.7500 0.7500 0.8599
Gd 0.2500 0.2500 0.1401

Summary:
Excess energy over the best structure of this formula in the dataset = 257 meV/atom